# BaNdNiBiO6, relaxed, DFT PBE with a Hubbard U
data_BaNdNiBiO6
_chemical_formula_sum 'Ba1 Nd1 Ni1 Bi1 O6'
_symmetry_space_group_name_H-M 'P 1'
_symmetry_Int_Tables_number 1
_cell_length_a 5.8379
_cell_length_b 5.8379
_cell_length_c 5.8379
_cell_angle_alpha 60.00
_cell_angle_beta 60.00
_cell_angle_gamma 60.00
loop_
_symmetry_equiv_pos_as_xyz
'x,y,z'
loop_
_atom_site_label
_atom_site_type_symbol
_atom_site_fract_x
_atom_site_fract_y
_atom_site_fract_z
Nd1 Nd 0.7500 0.7500 0.7500
O1 O 0.7463 0.2537 0.7463
O2 O 0.7463 0.7463 0.2537
O3 O 0.2537 0.2537 0.7463
O4 O 0.2537 0.7463 0.2537
O5 O 0.2537 0.7463 0.7463
O6 O 0.7463 0.2537 0.2537
Ba1 Ba 0.2500 0.2500 0.2500
Ni1 Ni 0.5000 0.5000 0.5000
Bi1 Bi 0.0000 0.0000 0.0000
# - DOS(E_F) (states/eV per cell) = 0.21
# - raw total energy (eV/atom) = -6.071
# - M_tot (μB per formula unit) = 2.00